# 1
# TaCoP | Alexandria via LeMat-Bulk | PBE | optimized geometry
# E_form   -0.7982 eV/atom
# Crystal system   monoclinic
# Theoretical density   11.7 g/cm³
data_TaCoP
_chemical_formula_sum 'Ta6 Co6 P6'
_cell_length_a 6.0847
_cell_length_b 3.6187
_cell_length_c 10.4656
_cell_angle_alpha 90.00
_cell_angle_beta 90.40
_cell_angle_gamma 90.00
_symmetry_space_group_name_H-M 'P 1 21/m 1'
_symmetry_Int_Tables_number 11
loop_
_symmetry_equiv_pos_as_xyz
'x,y,z'
'-x,-y,-z'
'-x,y+1/2,-z'
'x,-y+1/2,z'
loop_
_atom_site_label
_atom_site_fract_x
_atom_site_fract_y
_atom_site_fract_z
Ta1 0.0261 0.2500 0.1158
Ta2 0.1488 0.2500 0.4218
Ta3 0.4714 0.7500 0.7881
Co1 0.1331 0.2500 0.7039
Co2 0.3527 0.7500 0.0444
Co3 0.4876 0.7500 0.4123
P1 0.2291 0.7500 0.2514
P2 0.2720 0.7500 0.5864
P3 0.2741 0.2500 0.9183

# 2
# TaCo2P | Alexandria via LeMat-Bulk | PBE | optimized geometry
# E_form   -0.2623 eV/atom
# Crystal system   tetragonal
# Theoretical density   11.0 g/cm³
data_TaCo2P
_chemical_formula_sum 'Ta1 Co2 P1'
_cell_length_a 3.6907
_cell_length_b 3.6907
_cell_length_c 3.6475
_cell_angle_alpha 90.00
_cell_angle_beta 90.00
_cell_angle_gamma 90.00
_symmetry_space_group_name_H-M 'P 4/m m m'
_symmetry_Int_Tables_number 123
_symmetry_space_group_name_Hall '-P 4 2'
loop_
_atom_site_label
_atom_site_fract_x
_atom_site_fract_y
_atom_site_fract_z
Ta1 0.0000 0.0000 0.0000
Co1 0.0000 0.5000 0.5000
P1 0.5000 0.5000 0.0000